# LiVSb (PBE, optimized geometry)
data_LiVSb
_cell_length_a 3.928
_cell_length_b 3.928
_cell_length_c 7.117
_cell_angle_alpha 90.00
_cell_angle_beta 90.00
_cell_angle_gamma 90.00
_symmetry_space_group_name_H-M 'P 4/n m m'
_symmetry_Int_Tables_number 129
loop_
_symmetry_equiv_pos_as_xyz
'x,y,z'
'-x,-y,-z'
'-y+1/2,x,z'
'y+1/2,-x,-z'
'-x+1/2,-y+1/2,z'
'x+1/2,y+1/2,-z'
'y,-x+1/2,z'
'-y,x+1/2,-z'
'x+1/2,-y,-z'
'-x+1/2,y,z'
'-y,-x,-z'
'y,x,z'
'-x,y+1/2,-z'
'x,-y+1/2,z'
'y+1/2,x+1/2,-z'
'-y+1/2,-x+1/2,z'
loop_
_atom_site_label
_atom_site_type_symbol
_atom_site_fract_x
_atom_site_fract_y
_atom_site_fract_z
Li1 Li 0.250 0.250 0.169
V1 V 0.250 0.750 0.500
Sb1 Sb 0.250 0.250 0.766
# density of states at the Fermi level = 0.496 states/eV/atom
# final energy = -5.335 eV/atom
# ΔE to the lowest computed polymorph = 0 meV per atom